[1]
# NaHgPt PBE optimized geometry
data_NaHgPt
_cell_length_a 6.550
_cell_length_b 6.550
_cell_length_c 6.550
_cell_angle_alpha 90.00
_cell_angle_beta 90.00
_cell_angle_gamma 90.00
_space_group_name_H-M_alt 'F -4 3 m'
_space_group_IT_number 216
_space_group_name_Hall 'F -4 2 3'
loop_
_atom_site_label
_atom_site_type_symbol
_atom_site_fract_x
_atom_site_fract_y
_atom_site_fract_z
Na1 Na 0.000 0.000 0.000
Hg1 Hg 0.000 0.000 0.500
Pt1 Pt 0.250 0.250 0.750
# - total energy (eV/atom) = -2.593
# - ΔE to the lowest computed polymorph (eV/atom) = 0.000

[2]
# Dy2ScP3 PBE optimized geometry
data_Dy2ScP3
_cell_length_a 3.9280
_cell_length_b 3.9280
_cell_length_c 9.5902
_cell_angle_alpha 90.00
_cell_angle_beta 90.00
_cell_angle_gamma 120.00
_space_group_name_H-M_alt 'P -3 m 1'
_space_group_IT_number 164
_space_group_name_Hall '-P 3 2"'
loop_
_atom_site_label
_atom_site_type_symbol
_atom_site_fract_x
_atom_site_fract_y
_atom_site_fract_z
Dy1 Dy 0.3333 0.6667 0.3269
Sc1 Sc 0.0000 0.0000 0.0000
P1 P 0.0000 0.0000 0.5000
P2 P 0.3333 0.6667 0.8465
# - total energy (eV/atom) = -6.853

[3]
# MgTaTlCu PBE optimized geometry
data_MgTaTlCu
_cell_length_a 6.696
_cell_length_b 6.696
_cell_length_c 6.696
_cell_angle_alpha 90.00
_cell_angle_beta 90.00
_cell_angle_gamma 90.00
_space_group_name_H-M_alt 'F -4 3 m'
_space_group_IT_number 216
_space_group_name_Hall 'F -4 2 3'
loop_
_atom_site_label
_atom_site_type_symbol
_atom_site_fract_x
_atom_site_fract_y
_atom_site_fract_z
Mg1 Mg 0.000 0.000 0.000
Ta1 Ta 0.250 0.250 0.250
Tl1 Tl 0.000 0.000 0.500
Cu1 Cu 0.250 0.250 0.750
# - total energy (eV/atom) = -4.197
# - ΔE to the lowest computed polymorph (eV/atom) = 0.009

[4]
# PmPrNdN3 PBE optimized geometry
data_PmPrNdN3
_cell_length_a 3.6349
_cell_length_b 3.6349
_cell_length_c 8.9063
_cell_angle_alpha 90.00
_cell_angle_beta 90.00
_cell_angle_gamma 120.00
_space_group_name_H-M_alt 'P 3 m 1'
_space_group_IT_number 156
loop_
_space_group_symop_operation_xyz
'x,y,z'
'-y,x-y,z'
'-x+y,-x,z'
'-y,-x,z'
'-x+y,y,z'
'x,x-y,z'
loop_
_atom_site_label
_atom_site_type_symbol
_atom_site_fract_x
_atom_site_fract_y
_atom_site_fract_z
Pm1 Pm 0.0000 0.0000 0.0000
Pr1 Pr 0.3333 0.6667 0.6669
Nd1 Nd 0.6667 0.3333 0.3305
N1 N 0.0000 0.0000 0.4972
N2 N 0.3333 0.6667 0.1633
N3 N 0.6667 0.3333 0.8369
# - total energy (eV/atom) = -7.904